P | VASP calculation (PBE) on a geometry-optimized LaReSeBr2 structure.

The magnetization comes out at 4.037 μB/cell. As for the density of states at the Fermi level: 2.5 states/eV/f.u. The crystal system is tetragonal.

The structure belongs to space group P4/mmm (No. 123); the cell edges are 5.445, 5.445 and 5.725 Å and the angles 90.00°, 90.00° and 90.00°. The asymmetric unit holds La at (0.000, 0.000, 0.000), Re at (0.500, 0.500, 0.000), Se at (0.000, 0.000, 0.500) and Br at (0.000, 0.500, 0.500).



Q | VASP calculation (PBE) on a geometry-optimized LaReSeBr2 structure.

The magnetization comes out at 5.981 μB/cell. As for the density of states at the Fermi level: 1.1 states/eV/f.u. The crystal system is tetragonal.

The structure belongs to space group P4/mmm (No. 123); the cell edges are 5.838, 5.838 and 5.787 Å and the angles 90.00°, 90.00° and 90.00°. The asymmetric unit holds La at (0.000, 0.000, 0.000), Re at (0.500, 0.500, 0.500), Se at (0.000, 0.000, 0.500) and Br at (0.000, 0.500, 0.000).



Most stable structure: Q



P | VASP calculation (PBE) on a geometry-optimized LaRh3Br structure.

The magnetization comes out at 0.000 μB/cell. As for the density of states at the Fermi level: 4.3 states/eV/f.u. The crystal system is cubic.

The structure belongs to space group Pm-3m (No. 221); the cell edges are 4.709, 4.709 and 4.709 Å and the angles 90.00°, 90.00° and 90.00°. The asymmetric unit holds La at (0.000, 0.000, 0.000), Rh at (0.000, 0.500, 0.500) and Br at (0.500, 0.500, 0.500).



Q | VASP calculation (PBE) on a geometry-optimized LaRh3Br structure.

The magnetization comes out at 1.166 μB/cell. As for the density of states at the Fermi level: 7.0 states/eV/f.u. The crystal system is cubic.

The structure belongs to space group Pm-3m (No. 221); the cell edges are 4.992, 4.992 and 4.992 Å and the angles 90.00°, 90.00° and 90.00°. The asymmetric unit holds La at (0.000, 0.000, 0.000), Rh at (0.000, 0.000, 0.500) and Br at (0.500, 0.500, 0.500).



Most stable structure: P



P | VASP calculation (PBE) on a geometry-optimized LaRhSeBr2 structure.

The magnetization comes out at 2.020 μB/cell. As for the density of states at the Fermi level: 0.7 states/eV/f.u. The crystal system is tetragonal.

The structure belongs to space group P4/mmm (No. 123); the cell edges are 5.791, 5.791 and 5.807 Å and the angles 90.00°, 90.00° and 90.00°. The asymmetric unit holds La at (0.000, 0.000, 0.000), Rh at (0.500, 0.500, 0.500), Se at (0.000, 0.000, 0.500) and Br at (0.000, 0.500, 0.000).



Q | VASP calculation (PBE) on a geometry-optimized LaRhSeBr2 structure.

The magnetization comes out at 0.217 μB/cell. As for the density of states at the Fermi level: 4.6 states/eV/f.u. The crystal system is tetragonal.

The structure belongs to space group P4/mmm (No. 123); the cell edges are 4.988, 4.988 and 5.075 Å and the angles 90.00°, 90.00° and 90.00°. The asymmetric unit holds La at (0.000, 0.000, 0.000), Rh at (0.500, 0.500, 0.500), Se at (0.500, 0.500, 0.000) and Br at (0.000, 0.500, 0.500).



Most stable structure: Q



P | VASP calculation (PBE) on a geometry-optimized LaRuBr structure.

The magnetization comes out at 0.000 μB/cell. As for the density of states at the Fermi level: 2.4 states/eV/f.u. The crystal system is cubic.

The structure belongs to space group F-43m (No. 216); the cell edges are 6.566, 6.566 and 6.566 Å and the angles 90.00°, 90.00° and 90.00°. The asymmetric unit holds La at (0.000, 0.000, 0.000), Ru at (0.250, 0.250, 0.750) and Br at (0.000, 0.000, 0.500).



Q | VASP calculation (PBE) on a geometry-optimized LaRuBr structure.

The magnetization comes out at 0.000 μB/cell. As for the density of states at the Fermi level: 2.2 states/eV/f.u. The crystal system is monoclinic.

The structure belongs to space group C2/m (No. 12); the cell edges are 7.530, 4.219 and 11.758 Å and the angles 90.00°, 102.39° and 90.00°. The asymmetric unit holds La at (0.058, 0.000, 0.180), Ru at (0.157, 0.500, 0.992) and Br at (0.213, 0.000, 0.654).



Most stable structure: Q



P | VASP calculation (PBE) on a geometry-optimized LaRuBr3 structure.

The magnetization comes out at 0.000 μB/cell. As for the density of states at the Fermi level: 3.7 states/eV/f.u. The crystal system is cubic.

The structure belongs to space group Pm-3m (No. 221); the cell edges are 5.040, 5.040 and 5.040 Å and the angles 90.00°, 90.00° and 90.00°. The asymmetric unit holds La at (0.000, 0.000, 0.000), Ru at (0.500, 0.500, 0.500) and Br at (0.000, 0.500, 0.500).



Q | VASP calculation (PBE) on a geometry-optimized LaRuBr3 structure.

The magnetization comes out at 4.000 μB/cell. As for the density of states at the Fermi level: 35.0 states/eV/f.u. The crystal system is cubic.

The structure belongs to space group Pm-3m (No. 221); the cell edges are 5.872, 5.872 and 5.872 Å and the angles 90.00°, 90.00° and 90.00°. The asymmetric unit holds La at (0.000, 0.000, 0.000), Ru at (0.500, 0.500, 0.500) and Br at (0.000, 0.000, 0.500).



Most stable structure: P



P | VASP calculation (PBE) on a geometry-optimized La2RuBr2 structure.

The magnetization comes out at 0.000 μB/cell. The crystal system is trigonal.

The structure belongs to space group R-3m (No. 166, hexagonal axes); the cell edges are 4.2485, 4.2485 and 31.8128 Å and the angles 90.00°, 90.00° and 120.00°. The asymmetric unit holds La at (0.0000, 0.0000, 0.1162), Ru at (0.0000, 0.0000, 0.5000) and Br at (0.0000, 0.0000, 0.2769).



Q | VASP calculation (PBE) on a geometry-optimized La2RuBr2 structure.

The magnetization comes out at 0.000 μB/cell. As for the density of states at the Fermi level: 4.6 states/eV/f.u. The crystal system is tetragonal.

The structure belongs to space group I4/mmm (No. 139); the cell edges are 5.879, 5.879 and 7.934 Å and the angles 90.00°, 90.00° and 90.00°. The asymmetric unit holds La at (0.000, 0.500, 0.250), Ru at (0.000, 0.000, 0.000) and Br at (0.000, 0.000, 0.306).



R | VASP calculation (PBE) on a geometry-optimized La2RuBr2 structure.

The magnetization comes out at 1.628 μB/cell. As for the density of states at the Fermi level: 4.8 states/eV/f.u. The crystal system is tetragonal.

The structure belongs to space group P4/mbm (No. 127); the cell edges are 8.222, 8.222 and 3.764 Å and the angles 90.00°, 90.00° and 90.00°. The asymmetric unit holds La at (0.176, 0.324, 0.000), Ru at (0.000, 0.000, 0.500) and Br at (0.130, 0.630, 0.500).



Most stable structure: P



P | VASP calculation (PBE) on a geometry-optimized La3RuBr structure.

The magnetization comes out at 0.000 μB/cell. As for the density of states at the Fermi level: 3.7 states/eV/f.u. The crystal system is monoclinic.

The structure belongs to space group C2/c (No. 15); the cell edges are 15.263, 11.209 and 7.605 Å and the angles 90.00°, 95.91° and 90.00°. The asymmetric unit holds La at (0.096, 0.126, 0.095), La at (0.161, 0.454, 0.933), La at (0.181, 0.187, 0.658), Ru at (0.208, 0.049, 0.362), Br at (0.000, 0.289, 0.750) and Br at (0.000, 0.373, 0.250).



Q | VASP calculation (PBE) on a geometry-optimized La3RuBr structure.

The magnetization comes out at 0.000 μB/cell. As for the density of states at the Fermi level: 8.3 states/eV/f.u. The crystal system is cubic.

The structure belongs to space group Pm-3m (No. 221); the cell edges are 5.568, 5.568 and 5.568 Å and the angles 90.00°, 90.00° and 90.00°. The asymmetric unit holds La at (0.000, 0.000, 0.500), Ru at (0.000, 0.000, 0.000) and Br at (0.500, 0.500, 0.500).



Most stable structure: P



P | VASP calculation (PBE) on a geometry-optimized LaRu3Br structure.

The magnetization comes out at 1.296 μB/cell. As for the density of states at the Fermi level: 5.4 states/eV/f.u. The crystal system is cubic.

The structure belongs to space group Pm-3m (No. 221); the cell edges are 4.664, 4.664 and 4.664 Å and the angles 90.00°, 90.00° and 90.00°. The asymmetric unit holds La at (0.000, 0.000, 0.000), Ru at (0.000, 0.500, 0.500) and Br at (0.500, 0.500, 0.500).



Q | VASP calculation (PBE) on a geometry-optimized LaRu3Br structure.

The magnetization comes out at 4.595 μB/cell. As for the density of states at the Fermi level: 4.2 states/eV/f.u. The crystal system is cubic.

The structure belongs to space group Pm-3m (No. 221); the cell edges are 4.981, 4.981 and 4.981 Å and the angles 90.00°, 90.00° and 90.00°. The asymmetric unit holds La at (0.000, 0.000, 0.000), Ru at (0.000, 0.000, 0.500) and Br at (0.500, 0.500, 0.500).



Most stable structure: P



P | VASP calculation (PBE) on a geometry-optimized La2S2Br structure.

The magnetization comes out at 0.000 μB/cell. As for the density of states at the Fermi level: 2.2 states/eV/f.u. The crystal system is trigonal.

The structure belongs to space group P-3m1 (No. 164); the cell edges are 5.1554, 5.1554 and 5.8540 Å and the angles 90.00°, 90.00° and 120.00°. The asymmetric unit holds La at (0.3333, 0.6667, 0.2341), S at (0.3333, 0.6667, 0.7221) and Br at (0.0000, 0.0000, 0.0000).



Q | VASP calculation (PBE) on a geometry-optimized La2S2Br structure.

The magnetization comes out at 0.000 μB/cell. As for the density of states at the Fermi level: 2.9 states/eV/f.u. The crystal system is orthorhombic.

The structure belongs to space group Immm (No. 71); the cell edges are 4.367, 5.712 and 13.271 Å and the angles 90.00°, 90.00° and 90.00°. The asymmetric unit holds La at (0.000, 0.000, 0.177), S at (0.000, 0.500, 0.187) and Br at (0.000, 0.500, 0.500).



Most stable structure: P



P | VASP calculation (PBE) on a geometry-optimized La2S2Br structure.

The magnetization comes out at 2.000 μB/cell. As for the density of states at the Fermi level: 0.0 states/eV/f.u. The crystal system is tetragonal.

The structure belongs to space group I4/mmm (No. 139); the cell edges are 4.887, 4.887 and 13.486 Å and the angles 90.00°, 90.00° and 90.00°. The asymmetric unit holds La at (0.000, 0.000, 0.147), S at (0.000, 0.500, 0.250) and Br at (0.000, 0.000, 0.500).



Q | VASP calculation (PBE) on a geometry-optimized La2S2Br structure.

The magnetization comes out at 0.000 μB/cell. As for the density of states at the Fermi level: 2.0 states/eV/f.u. The crystal system is tetragonal.

The structure belongs to space group P4/mbm (No. 127); the cell edges are 8.139, 8.139 and 3.795 Å and the angles 90.00°, 90.00° and 90.00°. The asymmetric unit holds La at (0.156, 0.344, 0.000), S at (0.140, 0.640, 0.500) and Br at (0.000, 0.000, 0.000).



Most stable structure: Q



P | VASP calculation (PBE) on a geometry-optimized LaSBr2 structure.

The magnetization comes out at 8.359 μB/cell. As for the density of states at the Fermi level: 3.0 states/eV/f.u. The crystal system is trigonal.

The structure belongs to space group R-3m (No. 166, hexagonal axes); the cell edges are 4.1834, 4.1834 and 33.7496 Å and the angles 90.00°, 90.00° and 120.00°. The asymmetric unit holds La at (0.0000, 0.0000, 0.0000), S at (0.0000, 0.0000, 0.5000) and Br at (0.0000, 0.0000, 0.0807).



Q | VASP calculation (PBE) on a geometry-optimized LaSBr2 structure.

The magnetization comes out at 0.000 μB/cell. As for the density of states at the Fermi level: 0.9 states/eV/f.u. The crystal system is triclinic.

The structure belongs to space group P1 (No. 1); the cell edges are 4.887, 5.201 and 5.600 Å and the angles 102.03°, 114.57° and 92.12°. The asymmetric unit holds La at (0.000, 0.000, 0.000), S at (0.215, 0.557, 0.167), Br at (0.333, 0.660, 0.720) and Br at (0.749, 0.111, 0.425).



R | VASP calculation (PBE) on a geometry-optimized LaSBr2 structure.

The magnetization comes out at 1.001 μB/cell. The crystal system is triclinic.

The structure belongs to space group P1 (No. 1); the cell edges are 4.208, 5.298 and 7.707 Å and the angles 101.97°, 91.42° and 113.34°. The asymmetric unit holds La at (0.000, 0.000, 0.000), S at (0.708, 0.414, 0.036), Br at (0.342, 0.707, 0.739) and Br at (0.546, 0.066, 0.297).



Most stable structure: R



P | VASP calculation (PBE) on a geometry-optimized LaS2Br structure.

The magnetization comes out at 7.825 μB/cell. As for the density of states at the Fermi level: 4.9 states/eV/f.u. The crystal system is cubic.

The structure belongs to space group Fm-3m (No. 225); the cell edges are 7.191, 7.191 and 7.191 Å and the angles 90.00°, 90.00° and 90.00°. The asymmetric unit holds La at (0.000, 0.000, 0.000), S at (0.250, 0.250, 0.250) and Br at (0.000, 0.000, 0.500).



Q | VASP calculation (PBE) on a geometry-optimized LaS2Br structure.

The magnetization comes out at 0.000 μB/cell. As for the density of states at the Fermi level: 0.2 states/eV/f.u. The crystal system is tetragonal.

The structure belongs to space group I-42d (No. 122); the cell edges are 4.630, 4.630 and 20.721 Å and the angles 90.00°, 90.00° and 90.00°. The asymmetric unit holds La at (0.000, 0.000, 0.000), S at (0.062, 0.250, 0.125) and Br at (0.000, 0.000, 0.500).



R | VASP calculation (PBE) on a geometry-optimized LaS2Br structure.

The magnetization comes out at 0.000 μB/cell. As for the density of states at the Fermi level: 0.0 states/eV/f.u. The crystal system is trigonal.

The structure belongs to space group R-3m (No. 166, hexagonal axes); the cell edges are 4.4763, 4.4763 and 22.8040 Å and the angles 90.00°, 90.00° and 120.00°. The asymmetric unit holds La at (0.0000, 0.0000, 0.0000), S at (0.0000, 0.0000, 0.3913) and Br at (0.0000, 0.0000, 0.5000).



Most stable structure: Q